A | Ce2TcBr | PBE | relaxed

```
Ce2TcBr
1.0
3.397 0.000 0.000
0.000 3.397 0.000
0.000 0.000 8.191
Ce Tc Br
2 1 1
Cartesian
0.000 0.000 1.747
0.000 0.000 6.445
1.698 1.698 0.000
1.698 1.698 4.096
```

Crystal system: tetragonal
M_tot in μB per formula unit: 1.41
Space-group type: P4/mmm



B | Ce2TcBr | PBE | relaxed

```
Ce2TcBr
1.0
3.974 0.000 0.000
-1.987 3.442 0.000
0.000 0.000 23.520
Ce Tc Br
6 3 3
Cartesian
0.000 0.000 0.000
0.000 0.000 4.776
0.000 2.294 15.680
0.000 2.294 20.457
1.987 1.147 7.840
1.987 1.147 12.617
0.000 0.000 14.038
0.000 2.294 6.198
1.987 1.147 21.878
0.000 0.000 18.077
0.000 2.294 10.236
1.987 1.147 2.396
```

Crystal system: trigonal
M_tot in μB per formula unit: 0.54
Space-group type: R3m



Short version: B is the least stable of them.



A | Ce2TeBr | PBE | relaxed

```
Ce2TeBr
1.0
4.101 0.000 0.000
-2.051 3.552 0.000
0.000 0.000 24.758
Ce Te Br
6 3 3
Cartesian
0.000 0.000 0.000
0.000 0.000 4.196
0.000 2.368 16.505
0.000 2.368 20.701
2.051 1.184 8.253
2.051 1.184 12.449
0.000 0.000 14.485
0.000 2.368 6.232
2.051 1.184 22.737
0.000 0.000 10.337
0.000 2.368 2.084
2.051 1.184 18.589
```

Crystal system: trigonal
M_tot in μB per formula unit: 3.13
Space-group type: R3m



B | Ce2TeBr | PBE | relaxed

```
Ce2TeBr
1.0
4.426 0.000 0.000
-2.213 3.833 0.000
0.000 0.000 20.556
Ce Te Br
6 3 3
Cartesian
0.000 0.000 5.014
0.000 0.000 15.542
0.000 2.555 8.690
0.000 2.555 18.718
2.213 1.278 1.838
2.213 1.278 11.866
0.000 0.000 0.000
0.000 2.555 13.704
2.213 1.278 6.852
0.000 0.000 10.278
0.000 2.555 3.426
2.213 1.278 17.130
```

Crystal system: trigonal
M_tot in μB per formula unit: 2.20
Space-group type: R-3m



C | Ce2TeBr | PBE | relaxed

```
Ce2TeBr
1.0
7.608 0.000 0.000
0.000 7.608 0.000
0.000 0.000 7.608
Ce Te Br
8 4 4
Cartesian
1.902 1.902 1.902
1.902 1.902 5.706
1.902 5.706 1.902
1.902 5.706 5.706
5.706 1.902 1.902
5.706 1.902 5.706
5.706 5.706 1.902
5.706 5.706 5.706
0.000 0.000 0.000
0.000 3.804 3.804
3.804 0.000 3.804
3.804 3.804 0.000
0.000 0.000 3.804
0.000 3.804 0.000
3.804 0.000 0.000
3.804 3.804 3.804
```

Crystal system: cubic
M_tot in μB per formula unit: 3.36
Space-group type: Fm-3m



Short version: C is the least stable of them.



A | Ce3TeBr3 | PBE | relaxed

```
Ce3TeBr3
1.0
-6.089 6.089 6.089
6.089 -6.089 6.089
6.089 6.089 -6.089
Ce Te Br
12 4 12
Cartesian
1.520 1.522 10.653
1.522 10.653 1.520
1.525 7.608 4.566
10.653 1.520 1.522
4.564 4.569 -1.522
4.569 1.522 1.525
4.569 -1.522 4.564
1.525 4.569 1.522
1.522 1.525 4.569
7.608 4.566 1.525
4.566 1.525 7.608
-1.522 4.564 4.569
4.566 1.522 -1.522
1.522 1.522 1.522
1.522 -1.522 4.566
-1.522 4.566 1.522
7.611 1.447 1.597
7.611 -1.447 4.491
4.491 7.611 -1.447
4.641 1.597 4.566
4.566 4.641 1.597
1.597 7.611 1.447
7.536 4.491 4.566
1.597 4.566 4.641
1.447 1.597 7.611
4.566 7.536 4.491
-1.447 4.491 7.611
4.491 4.566 7.536
```

Crystal system: cubic
M_tot in μB per formula unit: 3.87
Space-group type: I4_132



B | Ce3TeBr3 | PBE | relaxed

```
Ce3TeBr3
1.0
3.670 2.119 10.674
-3.670 2.119 10.674
0.000 -4.238 10.674
Ce Te Br
6 2 6
Cartesian
-1.130 -1.958 14.249
-2.261 0.000 17.774
-1.131 1.958 14.249
1.131 -1.958 17.774
2.261 0.000 14.249
1.130 1.958 17.774
0.000 0.000 5.338
0.000 0.000 26.685
-2.563 -0.001 12.450
-1.280 -2.220 19.573
1.283 -2.219 12.450
-1.283 2.219 19.573
1.280 2.220 12.450
2.563 0.001 19.573
```

Crystal system: trigonal
M_tot in μB per formula unit: 3.99
Space-group type: R-3



Short version: B is the least stable of them.



A | CeTeBr2 | PBE | relaxed

```
CeTeBr2
1.0
4.110 0.000 0.000
0.000 14.010 0.000
0.000 0.000 9.351
Ce Te Br
4 4 8
Cartesian
0.000 3.351 2.338
0.000 10.659 7.013
2.055 3.654 7.013
2.055 10.356 2.338
0.000 5.842 7.013
0.000 8.168 2.338
2.055 1.163 2.338
2.055 12.847 7.013
0.000 2.189 5.321
0.000 2.189 8.706
0.000 11.821 0.645
0.000 11.821 4.031
2.055 4.816 0.645
2.055 4.816 4.031
2.055 9.194 5.321
2.055 9.194 8.706
```

Crystal system: orthorhombic
M_tot in μB per formula unit: 0.10
Space-group type: Cmcm



B | CeTeBr2 | PBE | relaxed

```
CeTeBr2
1.0
3.697 0.000 0.000
-1.849 3.202 0.000
0.000 0.000 36.992
Ce Te Br
3 3 6
Cartesian
0.000 0.000 0.000
0.000 2.135 24.662
1.849 1.067 12.331
0.000 0.000 18.496
0.000 2.135 6.165
1.849 1.067 30.827
0.000 0.000 14.380
0.000 0.000 22.613
0.000 2.135 2.049
0.000 2.135 10.282
1.849 1.067 26.711
1.849 1.067 34.944
```

Crystal system: trigonal
M_tot in μB per formula unit: 1.97
Space-group type: R-3m



Short version: B is the least stable of them.



A | Ce2Te2Br | PBE | relaxed

```
Ce2Te2Br
1.0
2.245 -9.269 0.000
2.245 9.269 0.000
0.000 0.000 7.977
Ce Te Br
4 4 2
Cartesian
2.245 8.173 3.988
2.245 3.572 3.867
2.245 -3.572 7.855
2.245 -8.173 0.000
2.245 3.557 0.464
2.245 0.837 5.634
2.245 -0.837 1.646
2.245 -3.557 4.452
2.245 7.440 6.924
2.245 -7.440 2.936
```

Crystal system: orthorhombic
M_tot in μB per formula unit: 2.80
Space-group type: Cmc2_1



B | Ce2Te2Br | PBE | relaxed

```
Ce2Te2Br
1.0
6.333 0.000 0.000
0.000 4.557 0.000
-2.456 0.000 11.915
Ce Te Br
4 4 2
Cartesian
0.332 1.139 2.310
0.350 1.139 6.951
3.527 3.418 4.965
3.544 3.418 9.605
0.358 3.418 4.652
0.354 3.418 9.102
3.523 1.139 2.813
3.519 1.139 7.263
1.234 3.418 0.571
2.643 1.139 11.344
```

Crystal system: monoclinic
M_tot in μB per formula unit: 2.50
Space-group type: P2_1/m



Short version: A is the least stable of them.



A | CeTmBr | PBE | relaxed

```
CeTmBr
1.0
4.821 0.000 0.000
0.000 3.696 0.000
-0.011 0.000 9.737
Ce Tm Br
2 2 2
Cartesian
1.200 0.924 1.890
3.611 2.772 7.847
1.200 0.924 5.512
3.610 2.772 4.225
1.200 0.924 8.483
3.611 2.772 1.253
```

Crystal system: monoclinic
M_tot in μB per formula unit: 1.44
Space-group type: P2_1/m



B | CeTmBr | PBE | relaxed

```
CeTmBr
1.0
3.616 0.000 0.000
-1.808 3.132 0.000
0.000 0.000 7.572
Ce Tm Br
1 1 1
Cartesian
0.000 0.000 0.000
1.808 1.044 2.766
0.000 2.088 4.981
```

Crystal system: trigonal
M_tot in μB per formula unit: 1.41
Space-group type: P3m1



Short version: A is the least stable of them.



A | CeZnBr | PBE | relaxed

```
CeZnBr
1.0
5.197 0.000 0.000
0.000 18.374 0.000
0.000 0.000 3.814
Ce Zn Br
4 4 4
Cartesian
0.000 1.087 0.953
0.000 17.286 2.860
2.599 8.100 2.860
2.599 10.274 0.953
0.000 8.404 0.953
0.000 9.970 2.860
2.599 0.783 2.860
2.599 17.591 0.953
0.000 3.257 2.860
0.000 15.117 0.953
2.599 5.930 0.953
2.599 12.444 2.860
```

Crystal system: orthorhombic
M_tot in μB per formula unit: 0.61
Space-group type: Cmcm



B | CeZnBr | PBE | relaxed

```
CeZnBr
1.0
7.446 0.000 0.000
0.000 4.299 0.000
-2.518 0.000 11.026
Ce Zn Br
4 4 4
Cartesian
0.000 0.000 1.997
1.204 2.149 9.028
3.723 2.149 1.997
4.928 0.000 9.028
-1.278 2.149 10.958
2.482 0.000 0.068
2.445 0.000 10.958
6.206 2.149 0.068
-0.037 0.000 7.215
1.241 2.149 3.811
3.687 2.149 7.215
4.964 0.000 3.811
```

Crystal system: monoclinic
M_tot in μB per formula unit: 1.27
Space-group type: C2/m



Short version: A is the least stable of them.



A | CeZnBr6 | PBE | relaxed

```
CeZnBr6
1.0
6.797 0.000 0.000
0.000 13.044 0.000
-2.214 0.000 6.426
Ce Zn Br
2 2 12
Cartesian
0.000 0.000 0.000
3.399 6.522 0.000
-1.107 6.522 3.213
2.292 0.000 3.213
-0.059 4.648 4.696
-0.059 8.396 4.696
0.020 0.000 4.825
1.165 6.522 1.601
1.243 1.874 1.730
1.243 11.170 1.730
3.340 1.874 4.696
3.340 11.170 4.696
3.418 6.522 4.825
4.563 0.000 1.601
4.642 4.648 1.730
4.642 8.396 1.730
```

Crystal system: monoclinic
M_tot in μB per formula unit: 0.00
Space-group type: C2/m



B | CeZnBr6 | PBE | relaxed

```
CeZnBr6
1.0
3.443 1.988 6.271
-3.443 1.988 6.271
0.000 -3.976 6.271
Ce Zn Br
1 1 6
Cartesian
0.000 0.000 0.000
0.000 0.000 9.407
-2.174 0.075 7.892
-1.152 -1.845 10.921
1.022 -1.920 7.892
-1.022 1.920 10.921
1.152 1.845 7.892
2.174 -0.075 10.921
```

Crystal system: trigonal
M_tot in μB per formula unit: 0.00
Space-group type: R-3



Short version: B is the least stable of them.



A | BrCl | PBE | relaxed

```
BrCl
1.0
3.339 0.000 0.000
0.000 3.339 0.000
0.000 0.000 4.208
Br Cl
1 1
Cartesian
0.000 0.000 0.000
1.670 1.670 2.104
```

Crystal system: tetragonal
M_tot in μB per formula unit: 0.02
Space-group type: P4/mmm



B | BrCl | PBE | relaxed

```
BrCl
1.0
9.613 0.000 0.000
0.000 9.613 0.000
0.000 0.000 9.613
Br Cl
8 8
Cartesian
2.259 2.259 7.354
2.259 7.354 2.259
2.548 2.548 2.548
2.548 7.065 7.065
7.065 2.548 7.065
7.065 7.065 2.548
7.354 2.259 2.259
7.354 7.354 7.354
1.301 1.301 1.301
1.301 8.312 8.312
3.506 3.506 6.107
3.506 6.107 3.506
6.107 3.506 3.506
6.107 6.107 6.107
8.312 1.301 8.312
8.312 8.312 1.301
```

Crystal system: cubic
M_tot in μB per formula unit: 0.00
Space-group type: I-43m



C | BrCl | PBE | relaxed

```
BrCl
1.0
4.547 0.000 0.000
0.000 7.669 0.000
-0.020 0.000 4.772
Br Cl
2 2
Cartesian
0.875 1.917 0.936
3.652 5.751 3.836
1.549 1.917 3.059
2.977 5.751 1.714
```

Crystal system: monoclinic
M_tot in μB per formula unit: 0.00
Space-group type: P2_1/m



Short version: A is the least stable of them.



A | BrCl | PBE | relaxed

```
BrCl
1.0
7.887 0.000 0.000
0.000 8.419 0.000
0.000 0.000 10.034
Br Cl
8 8
Cartesian
0.781 2.105 0.964
1.022 6.314 2.479
2.921 2.105 7.496
3.162 6.314 5.981
4.725 2.105 4.053
4.966 6.314 2.538
6.865 2.105 7.555
7.106 6.314 9.070
0.955 2.105 6.136
1.388 6.314 7.353
2.556 2.105 2.336
2.989 6.314 1.119
4.898 2.105 8.915
5.331 6.314 7.697
6.499 2.105 2.680
6.932 6.314 3.898
```

Crystal system: orthorhombic
M_tot in μB per formula unit: 0.00
Space-group type: Pnma



B | BrCl | PBE | relaxed

```
BrCl
1.0
3.904 0.000 0.000
0.000 3.569 0.000
0.000 0.000 8.477
Br Cl
2 2
Cartesian
0.976 0.000 0.904
2.928 0.000 7.573
0.976 1.784 6.083
2.928 1.784 2.394
```

Crystal system: orthorhombic
M_tot in μB per formula unit: 0.00
Space-group type: Pmma



C | BrCl | PBE | relaxed

```
BrCl
1.0
6.916 0.000 0.000
0.000 6.916 0.000
0.000 0.000 6.916
Br Cl
4 4
Cartesian
0.000 0.000 0.000
0.000 3.458 3.458
3.458 0.000 3.458
3.458 3.458 0.000
1.729 1.729 1.729
1.729 5.187 5.187
5.187 1.729 5.187
5.187 5.187 1.729
```

Crystal system: cubic
M_tot in μB per formula unit: 2.05
Space-group type: F-43m



Short version: C is the least stable of them.